# 1
This record from Alexandria describes a relaxed Tm4SnPt2 crystal. The functional is PBE.

Lattice parameters (Å, degrees): 10.2095 10.2095 10.2095 26.19 26.19 26.19
Last column: nearest neighbours and their distance in Å.
Fractional positions:
Tm1 0.1142 0.1142 0.1142  3 Pt 3.03, 3 Sn 3.09
Tm2 0.2989 0.2989 0.2989  4 Pt 2.83-2.96
Tm3 0.7011 0.7011 0.7011  4 Pt 2.83-2.96
Tm4 0.8858 0.8858 0.8858  3 Pt 3.03, 3 Sn 3.09
Sn1 0.5000 0.5000 0.5000  2 Pt 2.98, 6 Tm 3.09
Pt1 0.3990 0.3990 0.3990  7 Tm 2.83-3.03, 1 Sn 2.98
Pt2 0.6010 0.6010 0.6010  7 Tm 2.83-3.03, 1 Sn 2.98

Values from the calculation:
M_tot ... 0.00 μB per atom
Formation enthalpy at 0 K ... -0.902 eV/atom
DOS at the Fermi energy ... 4.872 states/eV/cell
Final energy ... -5.76 eV per atom
Space group ... No. 166


# 2
This record from Alexandria describes a relaxed Tm2SnPt crystal. The functional is PBE.

Lattice parameters (Å, degrees): 3.5040 3.5040 7.5839 90.00 90.00 90.00
Last column: nearest neighbours and their distance in Å.
Fractional positions:
Tm1 0.0000 0.0000 0.2180  4 Pt 2.98, 4 Sn 3.27, 1 Tm 3.31
Tm2 0.0000 0.0000 0.7820  4 Pt 2.98, 4 Sn 3.27, 1 Tm 3.31
Sn1 0.5000 0.5000 0.5000  8 Tm 3.27, 4 Sn 3.50
Pt1 0.5000 0.5000 0.0000  8 Tm 2.98

Values from the calculation:
M_tot ... 0.00 μB per atom
Formation enthalpy at 0 K ... -0.950 eV/atom
DOS at the Fermi energy ... 1.344 states/eV/cell
Final energy ... -5.70 eV per atom
Space group ... No. 123


# 3
This record from Alexandria describes a relaxed TmSnPt6 crystal. The functional is PBE.

Lattice parameters (Å, degrees): 4.0761 4.0761 8.1469 90.00 90.00 90.00
Last column: nearest neighbours and their distance in Å.
Fractional positions:
Tm1 0.0000 0.0000 0.0000  12 Pt 2.88-2.89
Sn1 0.0000 0.0000 0.5000  12 Pt 2.87-2.88
Pt1 0.0000 0.5000 0.2520  2 Sn 2.87, 8 Pt 2.87-2.89, 2 Tm 2.89
Pt2 0.0000 0.5000 0.7480  2 Sn 2.87, 8 Pt 2.87-2.89, 2 Tm 2.89
Pt3 0.5000 0.0000 0.2520  2 Sn 2.87, 8 Pt 2.87-2.89, 2 Tm 2.89
Pt4 0.5000 0.0000 0.7480  2 Sn 2.87, 8 Pt 2.87-2.89, 2 Tm 2.89
Pt5 0.5000 0.5000 0.0000  4 Tm 2.88, 8 Pt 2.89
Pt6 0.5000 0.5000 0.5000  8 Pt 2.87, 4 Sn 2.88

Values from the calculation:
M_tot ... 0.00 μB per atom
Formation enthalpy at 0 K ... -0.741 eV/atom
DOS at the Fermi energy ... 7.636 states/eV/cell
Final energy ... -6.33 eV per atom
Space group ... No. 123


# 4
This record from Alexandria describes a relaxed Tm3SnPt12 crystal. The functional is PBE.

Lattice parameters (Å, degrees): 4.0867 4.0867 16.2932 90.00 90.00 90.00
Last column: nearest neighbours and their distance in Å.
Fractional positions:
Tm1 0.0000 0.0000 0.0000  12 Pt 2.89
Tm2 0.0000 0.0000 0.2497  12 Pt 2.88-2.91
Tm3 0.0000 0.0000 0.7503  12 Pt 2.88-2.91
Sn1 0.0000 0.0000 0.5000  12 Pt 2.87-2.89
Pt1 0.0000 0.5000 0.1253  4 Tm 2.88-2.89, 8 Pt 2.89-2.90
Pt2 0.0000 0.5000 0.3766  2 Sn 2.87, 8 Pt 2.87-2.89, 2 Tm 2.91
Pt3 0.0000 0.5000 0.6234  2 Sn 2.87, 8 Pt 2.87-2.89, 2 Tm 2.91
Pt4 0.0000 0.5000 0.8747  4 Tm 2.88-2.89, 8 Pt 2.89-2.90
Pt5 0.5000 0.0000 0.1253  4 Tm 2.88-2.89, 8 Pt 2.89-2.90
Pt6 0.5000 0.0000 0.3766  2 Sn 2.87, 8 Pt 2.87-2.89, 2 Tm 2.91
Pt7 0.5000 0.0000 0.6234  2 Sn 2.87, 8 Pt 2.87-2.89, 2 Tm 2.91
Pt8 0.5000 0.0000 0.8747  4 Tm 2.88-2.89, 8 Pt 2.89-2.90
Pt9 0.5000 0.5000 0.0000  8 Pt 2.89, 4 Tm 2.89
Pt10 0.5000 0.5000 0.2521  8 Pt 2.88-2.90, 4 Tm 2.89
Pt11 0.5000 0.5000 0.5000  8 Pt 2.87, 4 Sn 2.89
Pt12 0.5000 0.5000 0.7479  8 Pt 2.88-2.90, 4 Tm 2.89

Values from the calculation:
M_tot ... 0.00 μB per atom
Formation enthalpy at 0 K ... -0.914 eV/atom
DOS at the Fermi energy ... 15.105 states/eV/cell
Final energy ... -6.53 eV per atom
Space group ... No. 123


Which formula does entry 1 have? Tm4SnPt2


Repeat the second record exactly.
This record from Alexandria describes a relaxed Tm2SnPt crystal. The functional is PBE.

Lattice parameters (Å, degrees): 3.5040 3.5040 7.5839 90.00 90.00 90.00
Last column: nearest neighbours and their distance in Å.
Fractional positions:
Tm1 0.0000 0.0000 0.2180  4 Pt 2.98, 4 Sn 3.27, 1 Tm 3.31
Tm2 0.0000 0.0000 0.7820  4 Pt 2.98, 4 Sn 3.27, 1 Tm 3.31
Sn1 0.5000 0.5000 0.5000  8 Tm 3.27, 4 Sn 3.50
Pt1 0.5000 0.5000 0.0000  8 Tm 2.98

Values from the calculation:
M_tot ... 0.00 μB per atom
Formation enthalpy at 0 K ... -0.950 eV/atom
DOS at the Fermi energy ... 1.344 states/eV/cell
Final energy ... -5.70 eV per atom
Space group ... No. 123